# 1
An optimized crystal structure of Pm2Pr6NdTm. Source: the Alexandria database, functional PBE-GGA.

Summary:
- Energy of formation: 0.110 eV per atom

a = 9.878 Å, b = 9.044 Å, c = 9.044 Å
α = 117.76°, β = 94.15°, γ = 94.15°
Fractional positions:
Pr1 0.690 0.009 0.568
Pr2 0.190 0.568 0.009
Tm1 0.250 0.410 0.590
Pr3 0.310 0.991 0.432
Nd1 0.750 0.021 0.979
Pr4 0.882 0.295 0.507
Pr5 0.446 0.247 0.881
Pr6 0.554 0.753 0.119
Pm1 0.544 0.199 0.297
Pr7 0.382 0.507 0.295
Pr8 0.810 0.432 0.991
Pm2 0.456 0.801 0.703
Pr9 0.118 0.705 0.493
Pr10 0.946 0.881 0.247
Nd2 0.250 0.979 0.021
Pr11 0.618 0.493 0.705
Pm3 0.044 0.297 0.199
Tm2 0.750 0.590 0.410
Pm4 0.956 0.703 0.801
Pr12 0.054 0.119 0.753

# 2
An optimized crystal structure of PmPrNd6Tm2. Source: the Alexandria database, functional PBE-GGA.

Summary:
- Energy of formation: 0.112 eV per atom

a = 9.742 Å, b = 8.950 Å, c = 8.950 Å
α = 116.79°, β = 93.89°, γ = 93.89°
Fractional positions:
Nd1 0.681 0.014 0.562
Tm1 0.451 0.802 0.706
Nd2 0.056 0.107 0.760
Tm2 0.951 0.706 0.802
Pr1 0.750 0.593 0.407
Nd3 0.944 0.893 0.240
Tm3 0.549 0.198 0.294
Nd4 0.619 0.485 0.704
Pm1 0.750 0.033 0.967
Nd5 0.119 0.704 0.485
Pm2 0.250 0.967 0.033
Tm4 0.049 0.294 0.198
Nd6 0.819 0.438 0.986
Nd7 0.556 0.760 0.107
Nd8 0.319 0.986 0.438
Nd9 0.444 0.240 0.893
Nd10 0.181 0.562 0.014
Nd11 0.881 0.296 0.515
Pr2 0.250 0.407 0.593
Nd12 0.381 0.515 0.296

# 3
An optimized crystal structure of Pm6PrNd2Tm3. Source: the Alexandria database, functional PBE-GGA.

Summary:
- Energy of formation: 0.019 eV per atom

a = 6.283 Å, b = 6.283 Å, c = 11.952 Å
α = 95.02°, β = 95.02°, γ = 120.01°
Fractional positions:
Nd1 0.667 0.333 0.000
Tm1 0.500 0.500 0.500
Tm2 0.167 0.833 0.500
Pm1 0.915 0.581 0.744
Nd2 0.333 0.667 0.000
Pm2 0.752 0.752 0.256
Pm3 0.085 0.419 0.256
Pr1 0.000 0.000 0.000
Pm4 0.581 0.915 0.744
Pm5 0.248 0.248 0.744
Pm6 0.419 0.085 0.256
Tm3 0.833 0.167 0.500

# 4
An optimized crystal structure of Pm6Pr2NdTm3. Source: the Alexandria database, functional PBE-GGA.

Summary:
- Energy of formation: 0.020 eV per atom

a = 6.288 Å, b = 6.288 Å, c = 11.965 Å
α = 95.02°, β = 95.02°, γ = 120.01°
Fractional positions:
Nd1 0.000 0.000 0.000
Pr1 0.333 0.667 0.000
Pm1 0.915 0.582 0.744
Pr2 0.667 0.333 0.000
Pm2 0.582 0.915 0.744
Pm3 0.752 0.752 0.256
Pm4 0.248 0.248 0.744
Tm1 0.833 0.167 0.500
Tm2 0.500 0.500 0.500
Pm5 0.085 0.418 0.256
Pm6 0.418 0.085 0.256
Tm3 0.167 0.833 0.500

# 5
An optimized crystal structure of PmPrNd2Tm. Source: the Alexandria database, functional PBE-GGA.

Summary:
- Energy of formation: 0.269 eV per atom

a = 6.605 Å, b = 8.479 Å, c = 6.316 Å
α = 93.62°, β = 90.00°, γ = 90.00°
Fractional positions:
Pr1 0.000 0.000 0.000
Nd1 0.308 0.688 0.271
Tm1 0.836 0.500 0.250
Nd2 0.308 0.312 0.229
Nd3 0.692 0.312 0.729
Pm1 0.565 0.000 0.250
Pr2 0.000 0.000 0.500
Tm2 0.164 0.500 0.750
Nd4 0.692 0.688 0.771
Pm2 0.435 0.000 0.750

# 6
An optimized crystal structure of Pm4Pr2NdTm2. Source: the Alexandria database, functional PBE-GGA.

Summary:
- Energy of formation: 0.020 eV per atom

a = 5.143 Å, b = 8.135 Å, c = 8.102 Å
α = 107.63°, β = 90.00°, γ = 108.43°
Fractional positions:
Pm1 0.222 0.443 0.330
Pm2 0.444 0.889 0.669
Pr1 0.112 0.224 0.668
Nd1 0.000 0.000 0.000
Pm3 0.778 0.557 0.670
Tm1 0.332 0.664 0.000
Tm2 0.668 0.336 0.000
Pm4 0.556 0.111 0.331
Pr2 0.888 0.776 0.332

# 7
An optimized crystal structure of PmPrNdTm2. Source: the Alexandria database, functional PBE-GGA.

Summary:
- Energy of formation: 0.349 eV per atom

a = 7.192 Å, b = 8.449 Å, c = 7.189 Å
α = 125.99°, β = 90.00°, γ = 90.00°
Fractional positions:
Pm1 0.250 0.999 0.999
Nd1 0.250 0.725 0.451
Tm1 0.500 0.687 0.000
Nd2 0.750 0.275 0.549
Tm2 0.500 0.313 0.000
Tm3 0.000 0.313 0.000
Tm4 0.000 0.687 0.000
Pm2 0.750 0.001 0.001
Pr1 0.250 0.273 0.546
Pr2 0.750 0.727 0.454

# 8
An optimized crystal structure of Pm3PrNdTm. Source: the Alexandria database, functional PBE-GGA.

Summary:
- Energy of formation: 0.019 eV per atom

a = 5.158 Å, b = 8.127 Å, c = 10.891 Å
α = 116.45°, β = 90.00°, γ = 90.00°
Fractional positions:
Pm1 0.750 0.875 0.043
Pm2 0.250 0.629 0.458
Nd1 0.750 0.374 0.873
Pm3 0.750 0.371 0.542
Pm4 0.250 0.125 0.957
Tm1 0.250 0.123 0.623
Tm2 0.750 0.877 0.377
Pm5 0.250 0.622 0.790
Pr1 0.750 0.875 0.707
Pr2 0.250 0.125 0.293
Nd2 0.250 0.626 0.127
Pm6 0.750 0.378 0.210

# 9
An optimized crystal structure of PmPr6Nd2Tm3. Source: the Alexandria database, functional PBE-GGA.

Summary:
- Energy of formation: 0.017 eV per atom

a = 6.340 Å, b = 6.340 Å, c = 11.979 Å
α = 95.05°, β = 95.05°, γ = 120.02°
Fractional positions:
Nd1 0.667 0.333 0.000
Pr1 0.582 0.915 0.745
Tm1 0.167 0.833 0.500
Pr2 0.752 0.752 0.255
Tm2 0.500 0.500 0.500
Pr3 0.915 0.582 0.745
Pr4 0.085 0.418 0.255
Pm1 0.000 0.000 0.000
Pr5 0.248 0.248 0.745
Pr6 0.418 0.085 0.255
Nd2 0.333 0.667 0.000
Tm3 0.833 0.167 0.500

# 10
An optimized crystal structure of Pm3Pr6Nd2Tm. Source: the Alexandria database, functional PBE-GGA.

Summary:
- Energy of formation: 0.013 eV per atom

a = 6.374 Å, b = 6.374 Å, c = 12.152 Å
α = 95.04°, β = 95.04°, γ = 120.01°
Fractional positions:
Pr1 0.917 0.585 0.751
Pm1 0.834 0.166 0.500
Pr2 0.415 0.083 0.249
Nd1 0.333 0.667 0.000
Pm2 0.500 0.500 0.500
Pr3 0.585 0.917 0.751
Pm3 0.166 0.834 0.500
Nd2 0.667 0.333 0.000
Pr4 0.083 0.415 0.249
Tm1 0.000 0.000 0.000
Pr5 0.249 0.249 0.750
Pr6 0.751 0.751 0.250

# 11
An optimized crystal structure of PmPr6Nd2Tm. Source: the Alexandria database, functional PBE-GGA.

Summary:
- Energy of formation: 0.110 eV per atom

a = 9.920 Å, b = 9.043 Å, c = 9.043 Å
α = 117.80°, β = 94.32°, γ = 94.32°
Fractional positions:
Nd1 0.456 0.802 0.704
Nd2 0.544 0.198 0.296
Pm1 0.750 0.020 0.980
Pr1 0.690 0.010 0.570
Pr2 0.946 0.881 0.248
Pm2 0.250 0.980 0.020
Pr3 0.446 0.248 0.881
Nd3 0.044 0.296 0.198
Pr4 0.190 0.570 0.010
Pr5 0.882 0.295 0.505
Pr6 0.310 0.990 0.430
Tm1 0.250 0.410 0.590
Pr7 0.382 0.505 0.295
Nd4 0.956 0.704 0.802
Pr8 0.554 0.752 0.119
Pr9 0.118 0.705 0.495
Pr10 0.054 0.119 0.752
Pr11 0.810 0.430 0.990
Pr12 0.618 0.495 0.705
Tm2 0.750 0.590 0.410

# 12
An optimized crystal structure of Pm2Pr3NdTm6. Source: the Alexandria database, functional PBE-GGA.

Summary:
- Energy of formation: 0.017 eV per atom

a = 6.234 Å, b = 6.234 Å, c = 11.739 Å
α = 95.07°, β = 95.07°, γ = 119.98°
Fractional positions:
Tm1 0.917 0.584 0.751
Tm2 0.250 0.250 0.751
Nd1 0.000 0.000 0.000
Pr1 0.167 0.833 0.500
Pr2 0.500 0.500 0.500
Tm3 0.750 0.750 0.249
Tm4 0.083 0.416 0.249
Pr3 0.833 0.167 0.500
Tm5 0.584 0.917 0.751
Tm6 0.416 0.083 0.249
Pm1 0.667 0.333 0.000
Pm2 0.333 0.667 0.000

Question: The highest energy of formation belongs to which entry?
Answer: PmPrNdTm2

Question: energy of formation of number 8 (Pm3PrNdTm)?
Answer: 0.019 eV per atom